[1]
AcPrZnAu (GGA-PBE, relaxed); DFT formation energy = -0.482 eV/atom; final energy = -3.842 eV per atom; symmetry = F-43m (216)
1.0
-1.6148 -2.2246 4.6711
-4.3846 -3.1840 0.1122
0.5439 -5.3340 0.7921
Zn Au Pr Ac
1 1 1 1
Direct
0.0000 0.0000 0.0000
0.5000 0.5000 0.5000
0.7500 0.7500 0.7500
0.2500 0.2500 0.2500

---

[2]
AcPrZnAu (GGA-PBE, relaxed); DFT formation energy = -0.511 eV/atom; final energy = -3.871 eV per atom; symmetry = P4mm (99)
1.0
-3.6558 -1.0551 -0.5636
-0.0454 -1.6886 3.4558
-2.3418 6.4476 3.1196
Zn Ac Au Pr
1 1 1 1
Direct
0.0000 0.0000 0.3758
0.5000 0.5000 0.1059
0.0000 0.0000 0.8403
0.5000 0.5000 0.6059

---

[3]
AcPt3Au9 (GGA-PBE, relaxed); DFT formation energy = -0.284 eV/atom; final energy = -4.263 eV per atom; symmetry = C2/m (12)
1.0
-4.0882 0.6832 3.9553
-3.0241 -6.2317 2.3581
2.5314 -0.0628 6.7767
Au Pt Ac
9 3 1
Direct
0.7178 0.7835 0.7817
0.2822 0.2165 0.2183
0.5006 0.2165 0.7817
0.0161 0.6585 0.3472
0.0000 0.5000 0.0000
0.3632 0.6585 0.6528
0.4994 0.7835 0.2183
0.6368 0.3415 0.3472
0.9839 0.3415 0.6528
0.5000 0.0000 0.5000
0.5000 0.5000 0.0000
0.0000 0.0000 0.5000
0.0000 0.0000 0.0000

---

[4]
AcPt2Au3 (GGA-PBE, relaxed); DFT formation energy = -0.296 eV/atom; final energy = -4.633 eV per atom; symmetry = R-3m (166)
1.0
-2.4816 -0.9172 -5.7341
-4.4575 -4.3925 -0.8456
-7.3947 3.1139 -0.7752
Au Pt Ac
6 4 2
Direct
0.7205 0.2460 0.3130
0.2795 0.2795 0.6870
0.7205 0.7205 0.3130
0.7540 0.2795 0.6870
0.2795 0.7540 0.6870
0.2460 0.7205 0.3130
0.5000 0.0000 0.0000
0.5000 0.5000 0.0000
0.0000 0.0000 0.0000
0.0000 0.5000 0.0000
0.2243 0.2243 0.3271
0.7757 0.7757 0.6729

---

[5]
Ac4Pt3Au (GGA-PBE, relaxed); DFT formation energy = -1.100 eV/atom; final energy = -5.829 eV per atom; symmetry = Cmmm (65)
1.0
4.4231 -0.0556 0.0744
0.0520 7.3799 2.1464
-0.1285 0.4204 7.6733
Ac Au Pt
4 1 3
Direct
0.0000 0.2392 0.2609
0.5000 0.2449 0.7449
0.0000 0.7612 0.7389
0.4999 0.7552 0.2551
0.5000 0.5002 0.9999
0.9999 0.0001 0.0000
0.5000 0.0002 0.4999
0.9999 0.5001 0.5000

---

[6]
Ac12PtAu6 (GGA-PBE, relaxed); DFT formation energy = -0.537 eV/atom; final energy = -4.484 eV per atom; symmetry = R-3 (148)
1.0
9.1433 0.0023 0.0028
-1.3838 9.0379 0.0028
-1.3838 -1.6123 8.8930
Ac Au Pt
12 6 1
Direct
0.4164 0.5733 0.1858
0.6809 0.9182 0.0426
0.9574 0.3191 0.0819
0.8142 0.5836 0.4267
0.0426 0.6809 0.9182
0.1858 0.4164 0.5733
0.5836 0.4267 0.8142
0.9182 0.0426 0.6809
0.3191 0.0819 0.9574
0.4267 0.8142 0.5836
0.5733 0.1858 0.4164
0.0819 0.9574 0.3191
0.1284 0.6233 0.3112
0.6233 0.3112 0.1284
0.3112 0.1284 0.6233
0.3767 0.6888 0.8716
0.8716 0.3767 0.6888
0.6888 0.8716 0.3767
0.0000 0.0000 0.0000

---

[7]
AcPt2Au10 (GGA-PBE, relaxed); DFT formation energy = -0.265 eV/atom; final energy = -4.032 eV per atom; symmetry = Fmmm (69)
1.0
-3.6204 4.2515 -1.1868
-6.4622 -0.7956 3.1324
0.3960 5.5153 4.8189
Au Pt Ac
10 2 1
Direct
0.0062 0.6477 0.3399
0.0000 0.0000 0.5000
0.9938 0.3523 0.6601
0.2833 0.2182 0.2152
0.6539 0.3523 0.3399
0.3461 0.6477 0.6601
0.5015 0.7818 0.2152
0.7167 0.7818 0.7848
0.5000 0.0000 0.5000
0.4985 0.2182 0.7848
0.5000 0.5000 0.0000
0.0000 0.5000 0.0000
0.0000 0.0000 0.0000

---

[8]
AcPtAu2 (GGA-PBE, relaxed); DFT formation energy = -0.524 eV/atom; final energy = -4.700 eV per atom; symmetry = Fm-3m (225)
1.0
-0.7448 4.9620 0.8158
-3.4574 2.5342 -2.7324
-4.2987 1.5982 2.1928
Ac Au Pt
1 2 1
Direct
0.0000 0.0000 0.0000
0.2500 0.2500 0.2500
0.7500 0.7500 0.7500
0.5000 0.5000 0.5000

---

[9]
Ac2Pt2Au15 (GGA-PBE, relaxed); DFT formation energy = -0.305 eV/atom; final energy = -3.961 eV per atom; symmetry = R-3m (166)
1.0
7.3487 -0.0117 -0.0104
0.9418 7.2881 -0.0104
0.9418 0.8266 7.2411
Au Pt Ac
15 2 2
Direct
0.6433 0.6433 0.1558
0.2954 0.0000 0.7046
0.3567 0.8442 0.3567
0.5000 0.0000 0.0000
0.3567 0.3567 0.8442
0.7046 0.2954 0.0000
0.2954 0.7046 0.0000
0.0000 0.0000 0.5000
0.0000 0.2954 0.7046
0.7046 0.0000 0.2954
0.6433 0.1558 0.6433
0.0000 0.5000 0.0000
0.0000 0.7046 0.2954
0.1558 0.6433 0.6433
0.8442 0.3567 0.3567
0.8973 0.8973 0.8973
0.1027 0.1027 0.1027
0.3238 0.3238 0.3238
0.6762 0.6762 0.6762

---

[10]
AcPtAu2 (GGA-PBE, relaxed); DFT formation energy = -0.650 eV/atom; final energy = -4.826 eV per atom; symmetry = R-3m (166)
1.0
-4.6542 -0.3243 0.5252
-2.2440 -3.9089 -1.3144
-1.6434 -3.3415 4.3578
Au Pt Ac
2 1 1
Direct
0.2142 0.2142 0.3573
0.7858 0.7858 0.6427
0.5000 0.5000 0.5000
0.0000 0.0000 0.0000

---

[11]
AcPtAu11 (GGA-PBE, relaxed); DFT formation energy = -0.255 eV/atom; final energy = -3.809 eV per atom; symmetry = C2/m (12)
1.0
5.2355 0.1201 2.1812
2.6864 6.7417 1.1192
-0.0121 0.0600 7.4029
Au Pt Ac
11 1 1
Direct
0.5000 0.0000 0.5000
0.4990 0.2167 0.7843
0.2833 0.2167 0.2157
0.9764 0.3528 0.6543
0.0236 0.6472 0.3457
0.0000 0.0000 0.5000
0.6307 0.3528 0.3457
0.7167 0.7833 0.7843
0.5010 0.7833 0.2157
0.0000 0.5000 0.0000
0.3693 0.6472 0.6543
0.5000 0.5000 0.0000
0.0000 0.0000 0.0000

---

[12]
Ac8Pt2Au (GGA-PBE, relaxed); DFT formation energy = -0.458 eV/atom; final energy = -4.842 eV per atom; symmetry = Cm (8)
1.0
6.7638 0.1953 -1.0524
-2.0749 7.3830 -3.1086
-0.0871 -0.1252 8.2737
Ac Au Pt
8 1 2
Direct
0.5889 0.0808 0.3478
0.3575 0.9222 0.6493
0.9716 0.2095 0.7856
0.7908 0.6409 0.6409
0.9716 0.7856 0.2095
0.3575 0.6493 0.9222
0.5889 0.3478 0.0808
0.1825 0.3711 0.3711
0.1899 0.0140 0.0140
0.5002 0.3191 0.6936
0.5002 0.6936 0.3191